Entry 1:
Material: BaSrTe
Method: DFT, PBE-GGA
State: optimized geometry

The structure in POSCAR format:
```
BaSrTe
1.0
-4.450 -4.924 -4.673
-0.960 -4.147 -6.910
1.404 -3.885 0.851
Ba Sr Te
1 1 1
direct
0.033 0.033 0.967
0.295 0.295 0.705
0.672 0.672 0.328
```

Properties
- E_tot (hartree per atom) = -0.120
- formation energy (no corrections) (meV/atom) = -1024
- DOS at the Fermi energy (states/eV per atom) = 0.47
- total magnetic moment (μB per formula unit) = 0.00
- ΔE to the lowest computed polymorph (eV/atom) = 0.029

---

Entry 2:
Material: BaSrTe2
Method: DFT, PBE-GGA
State: optimized geometry

The structure in POSCAR format:
```
BaSrTe2
1.0
-0.558 1.632 -7.465
-5.730 -5.041 -0.673
-8.184 3.811 -2.486
Sr Te Ba
2 4 2
direct
0.500 0.500 0.000
0.250 0.750 0.500
0.607 0.125 0.250
0.143 0.625 0.250
0.375 0.393 0.750
0.875 0.857 0.750
0.000 0.000 0.000
0.750 0.250 0.500
```

Properties
- E_tot (hartree per atom) = -0.146
- formation energy (no corrections) (meV/atom) = -1496
- DOS at the Fermi energy (states/eV per atom) = 0.00
- total magnetic moment (μB per formula unit) = 0.00
- ΔE to the lowest computed polymorph (eV/atom) = 0.266

---

Entry 3:
Material: BaSr2Te
Method: DFT, PBE-GGA
State: optimized geometry

The structure in POSCAR format:
```
BaSr2Te
1.0
6.173 0.000 0.000
0.000 5.303 0.000
0.000 0.000 5.303
Ba Sr Te
1 2 1
direct
0.500 0.000 0.500
0.000 0.000 0.000
0.000 0.500 0.500
0.500 0.500 0.000
```

Properties
- E_tot (hartree per atom) = -0.096
- formation energy (no corrections) (meV/atom) = -516
- DOS at the Fermi energy (states/eV per atom) = 1.19
- total magnetic moment (μB per formula unit) = 0.00